# CrPbN3 | Alexandria via LeMat-Bulk | meta-GGA SCAN | single point on PBEsol structure
data_CrPbN3
_cell_length_a 3.815
_cell_length_b 3.815
_cell_length_c 3.815
_cell_angle_alpha 90.00
_cell_angle_beta 90.00
_cell_angle_gamma 90.00
_symmetry_space_group_name_H-M 'P m -3 m'
_symmetry_Int_Tables_number 221
_symmetry_space_group_name_Hall '-P 4 2 3'
loop_
_atom_site_label
_atom_site_fract_x
_atom_site_fract_y
_atom_site_fract_z
_atom_site_occupancy
Cr1 0.000 0.000 0.000 1
Pb1 0.500 0.500 0.500 1
N1 0.000 0.000 0.500 1
# electronic total energy = -118.89 eV/cell
# energy relative to the elements, uncorrected = 0.629 eV/atom
# density of states at the Fermi level = 2.842 states/eV/cell
# magnetic moment = 0.00 μB/cell